## LaSb2Pd4 (PBE-GGA)

Data for a relaxed LaSb2Pd4 crystal.

Polymorph energy (0 for the lowest one), eV/f.u.: 0.00
Total moment, μB/cell: 0.00
Space-group type: P4_2/mnm, No. 136
Energy relative to the elements, uncorrected, meV per atom: -743

```
LaSb2Pd4
1.0
-1.1792 0.8695 -4.0996
4.6660 -6.0460 -2.6244
-6.2175 -5.1047 0.7056
Pd Sb La
8 4 2
Cartesian
-1.7437 -2.3727 -0.0017
0.1922 -8.7780 -1.9171
0.8693 -6.7821 -4.0001
-3.6000 -3.4991 -2.0183
1.0498 -2.6143 -0.8564
-2.6013 -8.5364 -1.0623
-3.9982 -6.3611 -2.5108
1.2675 -3.9201 -3.5076
-3.8485 -5.3096 -0.0192
-1.0276 -2.7134 -2.5915
-1.7031 -7.5678 -3.4268
2.2970 -5.8411 -1.8996
-0.5896 0.4348 -2.0498
-0.7758 -5.5754 -0.9594
```

## La5SbPd2 (PBE-GGA)

Data for a relaxed La5SbPd2 crystal.

Total moment, μB/cell: 0.00
Space-group type: I4/mcm, No. 140
Energy relative to the elements, uncorrected, meV per atom: -724

```
La5SbPd2
1.0
7.4953 0.0000 -3.5382
-1.6702 7.3069 -3.5382
-0.3052 -0.3828 9.0616
Pd Sb La
4 2 10
Cartesian
5.4371 4.6285 -5.3073
1.3001 6.3318 -4.3630
4.5250 0.9751 -2.7134
0.3880 2.6784 -1.7691
1.3037 1.6353 2.7617
4.2162 5.2887 -0.7765
0.0000 0.0000 0.0000
4.2588 7.0857 -3.7400
1.2611 -0.1617 5.7253
2.4739 4.8468 2.1871
0.8209 5.7307 -1.3148
-0.9640 3.4918 4.6123
3.0460 2.0772 -0.2018
4.6990 1.1934 3.3000
6.4839 3.4323 -2.6271
2.9126 3.6534 -3.5382
```

Energy: -5.5923, -5.6167 (eV/atom)